This record from Alexandria via LeMat-Bulk describes crystalline Be3AuBr at its relaxed geometry. The functional is PBE.

Values from the calculation:
Offset from the most stable computed form (meV per atom): 777
DOS at the Fermi energy (states/eV/f.u.): 0.95
Uncorrected formation energy (eV/atom): 1.327
Calculated volume (Å³ per atom): 16.43

a b c (Å): 4.3472 4.3472 4.3472
angles (deg): 90.00 90.00 90.00
Fractional coordinates of all 5 atoms:
Be: 0.5000 0.0000 0.0000
Be: 0.0000 0.0000 0.5000
Be: 0.0000 0.5000 0.0000
Au: 0.5000 0.5000 0.5000
Br: 0.0000 0.0000 0.0000